Arrangement a

A plane-wave DFT calculation with PBE was carried out for an optimized crystal structure of SmErCdAu.

POSCAR file:
```
SmErCdAu
1.0
-2.977 -3.250 -2.790
-3.744 -2.772 2.348
-5.017 1.144 -0.855
Cd Au Sm Er
1 1 1 1
Direct
0.750 0.750 0.750 Cd
0.250 0.250 0.250 Au
0.500 0.500 0.500 Sm
0.000 0.000 0.000 Er
```

---

Arrangement b

A plane-wave DFT calculation with PBE was carried out for an optimized crystal structure of SmErCdAu.

POSCAR file:
```
SmErCdAu
1.0
3.686 0.000 0.000
0.000 3.686 0.000
0.000 0.000 7.394
Sm Er Cd Au
1 1 1 1
Direct
0.500 0.500 0.597 Sm
0.500 0.500 0.123 Er
0.000 0.000 0.870 Cd
0.000 0.000 0.338 Au
```

---

Going by the computed energies, the most stable comes first: arrangement b, arrangement a.

---

Arrangement a

A plane-wave DFT calculation with PBE was carried out for an optimized crystal structure of Eu2CdAu.

POSCAR file:
```
Eu2CdAu
1.0
4.266 0.000 0.000
2.133 3.694 0.000
2.133 1.231 10.351
Eu Au Cd
2 1 1
Direct
0.110 0.110 0.670 Eu
0.890 0.890 0.330 Eu
0.500 0.500 0.500 Au
0.000 0.000 0.000 Cd
```

---

Arrangement b

A plane-wave DFT calculation with PBE was carried out for an optimized crystal structure of Eu2CdAu.

POSCAR file:
```
Eu2CdAu
1.0
-2.376 0.046 -2.981
-2.630 -1.828 2.068
-2.867 6.828 2.390
Eu Au Cd
2 1 1
Direct
0.000 0.000 0.768 Eu
0.000 0.000 0.232 Eu
0.500 0.500 0.000 Au
0.500 0.500 0.500 Cd
```

---

Arrangement c

A plane-wave DFT calculation with PBE was carried out for an optimized crystal structure of Eu2CdAu.

POSCAR file:
```
Eu2CdAu
1.0
5.418 0.000 0.000
2.709 4.692 0.000
2.709 1.564 4.424
Eu Au Cd
2 1 1
Direct
0.250 0.250 0.250 Eu
0.750 0.750 0.750 Eu
0.000 0.000 0.000 Au
0.500 0.500 0.500 Cd
```

---

Going by the computed energies, the most stable comes first: arrangement b, arrangement c, arrangement a.

---

Arrangement a

A plane-wave DFT calculation with PBE was carried out for an optimized crystal structure of CdAu2F8.

POSCAR file:
```
CdAu2F8
1.0
5.482 -0.247 0.005
-0.221 4.894 -3.436
-0.027 0.078 6.744
F Au Cd
8 2 1
Direct
0.242 0.894 0.455 F
0.758 0.106 0.545 F
0.762 0.708 0.058 F
0.244 0.279 0.349 F
0.271 0.693 0.845 F
0.238 0.292 0.942 F
0.756 0.721 0.651 F
0.729 0.307 0.155 F
0.251 0.289 0.647 Au
0.749 0.711 0.352 Au
0.000 0.000 0.000 Cd
```

---

Arrangement b

A plane-wave DFT calculation with PBE was carried out for an optimized crystal structure of CdAu2F8.

POSCAR file:
```
CdAu2F8
1.0
-1.227 4.847 2.570
-2.749 -2.973 4.294
5.758 1.209 0.468
Cd Au F
1 2 8
Direct
0.500 0.000 0.000 Cd
0.984 0.667 0.333 Au
0.016 0.333 0.667 Au
0.667 0.333 0.667 F
0.333 0.667 0.333 F
0.246 0.169 0.338 F
0.754 0.831 0.662 F
0.754 0.338 0.169 F
0.246 0.662 0.831 F
0.246 0.169 0.831 F
0.754 0.831 0.169 F
```

---

Going by the computed energies, the most stable comes first: arrangement a, arrangement b.

---

Arrangement a

A plane-wave DFT calculation with PBE was carried out for an optimized crystal structure of CdAuF2.

POSCAR file:
```
CdAuF2
1.0
0.511 1.784 3.959
-3.344 2.064 1.915
-1.970 -1.783 3.472
F Au Cd
2 1 1
Direct
0.250 0.250 0.250 F
0.750 0.750 0.750 F
0.500 0.500 0.500 Au
0.000 0.000 0.000 Cd
```

---

Arrangement b

A plane-wave DFT calculation with PBE was carried out for an optimized crystal structure of CdAuF2.

POSCAR file:
```
CdAuF2
1.0
1.880 0.000 9.041
-0.940 1.628 9.041
-0.940 -1.628 9.041
F Au Cd
2 1 1
Direct
0.878 0.878 0.878 F
0.122 0.122 0.122 F
0.000 0.000 0.000 Au
0.500 0.500 0.500 Cd
```

---

Going by the computed energies, the most stable comes first: arrangement b, arrangement a.

---

Arrangement a

A plane-wave DFT calculation with PBE was carried out for an optimized crystal structure of CdAuF2.

POSCAR file:
```
CdAuF2
1.0
5.940 0.000 0.000
0.000 5.940 0.000
2.970 2.970 4.730
F Au Cd
4 2 2
Direct
0.552 0.125 0.250 F
0.198 0.625 0.250 F
0.375 0.448 0.750 F
0.875 0.802 0.750 F
0.000 0.000 0.000 Au
0.750 0.250 0.500 Au
0.500 0.500 0.000 Cd
0.250 0.750 0.500 Cd
```

---

Arrangement b

A plane-wave DFT calculation with PBE was carried out for an optimized crystal structure of CdAuF2.

POSCAR file:
```
CdAuF2
1.0
1.998 -7.144 3.756
3.555 -7.434 1.111
4.783 -5.857 3.457
F Au Cd
2 1 1
Direct
0.911 0.911 0.911 F
0.089 0.089 0.089 F
0.500 0.500 0.500 Au
0.000 0.000 0.000 Cd
```

---

Going by the computed energies, the most stable comes first: arrangement a, arrangement b.

---

Arrangement a

A plane-wave DFT calculation with PBE was carried out for an optimized crystal structure of CdAu3F.

POSCAR file:
```
CdAu3F
1.0
5.209 0.000 0.000
0.000 5.209 0.000
0.000 0.000 5.209
F Au Cd
1 3 1
Direct
0.500 0.500 0.500 F
0.000 0.500 0.000 Au
0.000 0.000 0.500 Au
0.500 0.000 0.000 Au
0.000 0.000 0.000 Cd
```

---

Arrangement b

A plane-wave DFT calculation with PBE was carried out for an optimized crystal structure of CdAu3F.

POSCAR file:
```
CdAu3F
1.0
-0.180 -1.625 -4.355
3.499 -2.916 0.943
-3.059 -3.240 1.335
F Au Cd
1 3 1
Direct
0.000 0.000 0.000 F
0.000 0.500 0.000 Au
0.000 0.000 0.500 Au
0.500 0.000 0.000 Au
0.500 0.500 0.500 Cd
```

---

Going by the computed energies, the most stable comes first: arrangement b, arrangement a.

---

Arrangement a

A plane-wave DFT calculation with PBE was carried out for an optimized crystal structure of CdAuNF2.

POSCAR file:
```
CdAuNF2
1.0
4.624 0.000 0.000
0.000 4.624 0.000
0.000 0.000 3.838
N F Au Cd
1 2 1 1
Direct
0.000 0.000 0.500 N
0.000 0.500 0.000 F
0.500 0.000 0.000 F
0.000 0.000 0.000 Au
0.500 0.500 0.500 Cd
```

---

Arrangement b

A plane-wave DFT calculation with PBE was carried out for an optimized crystal structure of CdAuNF2.

POSCAR file:
```
CdAuNF2
1.0
4.372 0.000 0.000
0.000 4.372 0.000
0.000 0.000 4.437
N F Au Cd
1 2 1 1
Direct
0.000 0.000 0.500 N
0.000 0.500 0.000 F
0.500 0.000 0.000 F
0.500 0.500 0.500 Au
0.000 0.000 0.000 Cd
```

---

Going by the computed energies, the most stable comes first: arrangement a, arrangement b.

---

Arrangement a

A plane-wave DFT calculation with PBE was carried out for an optimized crystal structure of CdAuN2F.

POSCAR file:
```
CdAuN2F
1.0
-0.390 3.477 -1.835
-5.595 -1.229 -1.140
-1.065 1.682 3.413
N F Au Cd
2 1 1 1
Direct
0.000 0.000 0.500 N
0.500 0.000 0.000 N
0.500 0.500 0.500 F
0.000 0.000 0.000 Au
0.000 0.500 0.000 Cd
```

---

Arrangement b

A plane-wave DFT calculation with PBE was carried out for an optimized crystal structure of CdAuN2F.

POSCAR file:
```
CdAuN2F
1.0
3.955 0.000 0.000
0.000 3.955 0.000
0.000 0.000 5.179
N F Au Cd
2 1 1 1
Direct
0.000 0.500 0.000 N
0.500 0.000 0.000 N
0.000 0.000 0.500 F
0.000 0.000 0.000 Au
0.500 0.500 0.500 Cd
```

---

Arrangement c

A plane-wave DFT calculation with PBE was carried out for an optimized crystal structure of CdAuN2F.

POSCAR file:
```
CdAuN2F
1.0
4.366 0.000 0.000
0.000 4.366 0.000
0.000 0.000 4.341
N F Au Cd
2 1 1 1
Direct
0.000 0.500 0.000 N
0.500 0.000 0.000 N
0.000 0.000 0.500 F
0.500 0.500 0.500 Au
0.000 0.000 0.000 Cd
```

---

Going by the computed energies, the most stable comes first: arrangement b, arrangement a, arrangement c.